A relaxed Ge2Pt2Cl crystal. Source: Alexandria, functional GGA-PBE.

Cell and atoms, written as CIF:
```
data_Ge2Pt2Cl
_chemical_formula_sum 'Ge4 Pt4 Cl2'
_space_group_name_H-M_alt 'P 4/m b m'
_space_group_IT_number 127
_space_group_name_Hall '-P 4 2ab'
_cell_length_a 7.642
_cell_length_b 7.642
_cell_length_c 3.037
_cell_angle_alpha 90.00
_cell_angle_beta 90.00
_cell_angle_gamma 90.00
loop_
_atom_site_label
_atom_site_type_symbol
_atom_site_fract_x
_atom_site_fract_y
_atom_site_fract_z
Ge1 Ge 0.165 0.335 0.000
Pt1 Pt 0.129 0.629 0.500
Cl1 Cl 0.000 0.000 0.000
```

Output
N(E_F), states/eV per cell: 7.6
Magnetization, μB per formula unit: 0.0
Distance to the lowest polymorph of the same formula, eV/atom: 0.2128

A relaxed Sm2Dy6Y crystal. Source: Alexandria, functional GGA-PBE.

Cell and atoms, written as CIF:
```
data_Sm2Dy6Y
_chemical_formula_sum 'Sm4 Dy12 Y2'
_space_group_name_H-M_alt 'I m m m'
_space_group_IT_number 71
_space_group_name_Hall '-I 2 2'
_cell_length_a 3.493
_cell_length_b 10.342
_cell_length_c 16.188
_cell_angle_alpha 90.00
_cell_angle_beta 90.00
_cell_angle_gamma 90.00
loop_
_atom_site_label
_atom_site_type_symbol
_atom_site_fract_x
_atom_site_fract_y
_atom_site_fract_z
Sm1 Sm 0.000 0.000 0.157
Dy1 Dy 0.000 0.313 0.500
Dy2 Dy 0.000 0.333 0.178
Y1 Y 0.000 0.500 0.000
```

Output
N(E_F), states/eV per cell: 28.8
Magnetization, μB per formula unit: 0.0
Energy of formation, eV per atom: 0.108
Distance to the lowest polymorph of the same formula, eV/atom: 0.0000

A relaxed PrGa12Ir4 crystal. Source: Alexandria, functional GGA-PBE.

Cell and atoms, written as CIF:
```
data_PrGa12Ir4
_chemical_formula_sum 'Pr2 Ga24 Ir8'
_space_group_name_H-M_alt 'I m -3'
_space_group_IT_number 204
_space_group_name_Hall '-I 2 2 3'
_cell_length_a 8.856
_cell_length_b 8.856
_cell_length_c 8.856
_cell_angle_alpha 90.00
_cell_angle_beta 90.00
_cell_angle_gamma 90.00
loop_
_atom_site_label
_atom_site_type_symbol
_atom_site_fract_x
_atom_site_fract_y
_atom_site_fract_z
Pr1 Pr 0.000 0.000 0.000
Ga1 Ga 0.000 0.338 0.162
Ir1 Ir 0.250 0.250 0.250
```

Output
N(E_F), states/eV per cell: 14.7
Magnetization, μB per formula unit: 0.0
Energy of formation, eV per atom: -0.198